1.
This record from Alexandria via LeMat-Bulk describes LiCu at its PBEsol-relaxed geometry. The functional is SCAN.

a b c (Å): 2.4532 4.2038 5.0836
angles (deg): 90.00 103.96 90.00
Last column: nearest neighbours and their distance in Å.
Fractional positions:
Cu  0.4362  0.2500  0.8724  4 Cu 2.45, 7 Li 2.62-2.65
Cu  0.5638  0.7500  0.1276  4 Cu 2.45, 7 Li 2.62-2.65
Li  0.1708  0.2500  0.3416  2 Li 2.45, 7 Cu 2.62-2.65
Li  0.8292  0.7500  0.6584  2 Li 2.45, 7 Cu 2.62-2.65

Space group = No. 63
Crystal system = orthorhombic
E_form = 0.015 eV per atom

2.
This record from Alexandria via LeMat-Bulk describes AlTc2Os at its PBEsol-relaxed geometry. The functional is SCAN.

a b c (Å): 2.9963 4.1749 4.4354
angles (deg): 90.00 90.00 90.00
Last column: nearest neighbours and their distance in Å.
Fractional positions:
Al  0.5000  0.0000  0.5000  4 Os 2.57, 4 Tc 2.68
Os  0.0000  0.5000  0.5000  4 Al 2.57, 4 Tc 2.68
Tc  0.0000  0.0000  0.0000  4 Tc 2.57, 4 Al 2.68
Tc  0.5000  0.5000  0.0000  4 Tc 2.57, 4 Os 2.68

Space group = No. 47
Crystal system = orthorhombic
E_form = -0.203 eV per atom

3.
This record from Alexandria via LeMat-Bulk describes K2ZrRe at its PBEsol-relaxed geometry. The functional is SCAN.

a b c (Å): 2.8594 2.8594 12.7549
angles (deg): 90.00 90.00 117.36
Last column: nearest neighbours and their distance in Å.
Fractional positions:
Re  0.5000  0.5000  0.5000  6 Re 2.86-2.97
K  0.0000  0.0000  0.2737  6 K 2.86-2.97
K  0.0000  0.0000  0.7263  6 K 2.86-2.97
Zr  0.5000  0.5000  0.0000  6 Zr 2.86-2.97

Space group = No. 65
Crystal system = orthorhombic
E_form = 1.258 eV per atom

4.
This record from Alexandria via LeMat-Bulk describes RbTl2SeN at its PBEsol-relaxed geometry. The functional is SCAN.

a b c (Å): 4.3287 6.1388 6.1388
angles (deg): 90.00 90.00 90.00
Last column: nearest neighbours and their distance in Å.
Fractional positions:
Se  0.5000  0.5000  0.5000  8 Tl 3.76
Tl  0.0000  0.5000  0.0000  2 Rb 3.07
Rb  0.0000  0.0000  0.0000  2 N 2.16
Tl  0.0000  0.0000  0.5000  2 Rb 3.07
N  0.5000  0.0000  0.0000  2 Rb 2.16

ΔE_f (raw) = 1206 meV per atom
Space group = No. 123
Crystal system = tetragonal

5.
This record from Alexandria via LeMat-Bulk describes Mn2CoHg at its PBEsol-relaxed geometry. The functional is SCAN.

a b c (Å): 3.9547 4.5409 3.9547
angles (deg): 115.81 90.00 115.81
Last column: nearest neighbours and their distance in Å.
Fractional positions:
Mn  0.7500  0.5000  0.2500  4 Hg 2.67, 4 Co 2.67, 4 Mn 2.80
Mn  0.2500  0.5000  0.7500  4 Co 2.67, 4 Hg 2.67, 4 Mn 2.80
Hg  0.0000  0.0000  0.0000  8 Mn 2.67, 4 Co 2.80
Co  0.5000  0.0000  0.5000  8 Mn 2.67, 4 Hg 2.80

Space group = No. 139
Crystal system = tetragonal
E_form = -0.055 eV per atom

6.
This record from Alexandria via LeMat-Bulk describes Ge3RhAu at its PBEsol-relaxed geometry. The functional is SCAN.

a b c (Å): 4.8112 4.8112 4.8112
angles (deg): 90.00 90.00 90.00
Last column: nearest neighbours and their distance in Å.
Fractional positions:
Rh  0.5000  0.5000  0.5000  12 Ge 3.40
Ge  0.5000  0.0000  0.0000  2 Au 2.41
Au  0.0000  0.0000  0.0000  6 Ge 2.41
Ge  0.0000  0.5000  0.0000  2 Au 2.41
Ge  0.0000  0.0000  0.5000  2 Au 2.41

Space group = No. 221
Crystal system = cubic
E_form = 1.050 eV per atom

Number 1: total DFT energy (no corrections) -35.118 eV/cell. Number 2: total DFT energy (no corrections) -150.563 eV/cell. Number 3: total DFT energy (no corrections) -113.420 eV/cell. Number 4: total DFT energy (no corrections) -188.797 eV/cell. Number 5: total DFT energy (no corrections) -122.202 eV/cell. Number 6: total DFT energy (no corrections) -154.944 eV/cell.